The following is a DFT calculation (GGA-PBEsol) of crystalline TlTeIr2 at its relaxed geometry.

Its total moment is 0.000 μB per formula unit. As for the uncorrected formation energy: 0.435 eV/atom.

Lattice parameters (Å, degrees): 4.677 4.677 7.972 120.44 120.44 37.44
Sites, in units of the cell vectors:
Tl: 0.000 0.000 0.000
Te: 0.500 0.500 0.500
Ir: 0.308 0.308 0.666
Ir: 0.692 0.692 0.334

---

The following is a DFT calculation (GGA-PBEsol) of crystalline Lu2Se3 at its relaxed geometry.

Its total moment is 0.000 μB per formula unit. As for the uncorrected formation energy: -1.853 eV/atom.

Lattice parameters (Å, degrees): 13.049 12.452 6.821 79.38 69.71 30.92
Sites, in units of the cell vectors:
Lu: 0.041 0.041 0.209
Lu: 0.127 0.127 0.623
Lu: 0.209 0.209 0.041
Lu: 0.377 0.377 0.873
Lu: 0.623 0.623 0.127
Lu: 0.791 0.791 0.959
Lu: 0.873 0.873 0.377
Lu: 0.959 0.959 0.791
Se: 0.047 0.539 0.201
Se: 0.122 0.628 0.628
Se: 0.201 0.713 0.047
Se: 0.287 0.799 0.461
Se: 0.372 0.878 0.878
Se: 0.461 0.953 0.287
Se: 0.539 0.047 0.713
Se: 0.628 0.122 0.122
Se: 0.713 0.201 0.539
Se: 0.799 0.287 0.953
Se: 0.878 0.372 0.372
Se: 0.953 0.461 0.799

---

The following is a DFT calculation (GGA-PBEsol) of crystalline Y2In2Tc at its relaxed geometry.

Its total moment is 1.275 μB per formula unit. The energy of formation is 0.639 eV per atom.

Lattice parameters (Å, degrees): 7.683 7.683 7.683 149.29 149.29 43.98
Sites, in units of the cell vectors:
Y: 0.250 0.750 0.500
Y: 0.750 0.250 0.500
In: 0.090 0.090 0.000
In: 0.910 0.910 0.000
Tc: 0.500 0.500 0.000

---

The following is a DFT calculation (GGA-PBEsol) of crystalline KCr2AgO7 at its relaxed geometry.

Its total moment is 0.000 μB per formula unit. As for the uncorrected formation energy: -1.592 eV/atom.

Lattice parameters (Å, degrees): 15.132 5.749 7.491 90.00 90.00 90.00
Sites, in units of the cell vectors:
K: 0.211 0.250 0.145
K: 0.289 0.750 0.645
K: 0.711 0.250 0.355
K: 0.789 0.750 0.855
Cr: 0.058 0.750 0.303
Cr: 0.145 0.250 0.676
Cr: 0.355 0.750 0.176
Cr: 0.442 0.250 0.803
Cr: 0.558 0.750 0.197
Cr: 0.645 0.250 0.824
Cr: 0.855 0.750 0.324
Cr: 0.942 0.250 0.697
Ag: 0.048 0.750 0.842
Ag: 0.452 0.250 0.342
Ag: 0.548 0.750 0.658
Ag: 0.952 0.250 0.158
O: 0.040 0.250 0.573
O: 0.055 0.516 0.177
O: 0.055 0.984 0.177
O: 0.142 0.750 0.435
O: 0.149 0.017 0.803
O: 0.149 0.483 0.803
O: 0.223 0.250 0.531
O: 0.277 0.750 0.031
O: 0.351 0.517 0.303
O: 0.351 0.983 0.303
O: 0.358 0.250 0.935
O: 0.445 0.016 0.677
O: 0.445 0.484 0.677
O: 0.460 0.750 0.073
O: 0.540 0.250 0.927
O: 0.555 0.516 0.323
O: 0.555 0.984 0.323
O: 0.642 0.750 0.065
O: 0.649 0.017 0.697
O: 0.649 0.483 0.697
O: 0.723 0.250 0.969
O: 0.777 0.750 0.469
O: 0.851 0.517 0.197
O: 0.851 0.983 0.197
O: 0.858 0.250 0.565
O: 0.945 0.016 0.823
O: 0.945 0.484 0.823
O: 0.960 0.750 0.427

---

The following is a DFT calculation (GGA-PBEsol) of crystalline SbTeAu2 at its relaxed geometry.

Its total moment is 0.000 μB per formula unit. As for the uncorrected formation energy: 0.106 eV/atom.

Lattice parameters (Å, degrees): 3.098 3.960 7.302 90.00 90.00 90.00
Sites, in units of the cell vectors:
Sb: 0.000 0.000 0.000
Te: 0.500 0.500 0.363
Au: 0.000 0.000 0.601
Au: 0.500 0.500 0.801

---

The following is a DFT calculation (GGA-PBEsol) of crystalline BeCu2Au at its relaxed geometry.

Its total moment is 0.000 μB per formula unit. The energy of formation is -0.089 eV per atom.

Lattice parameters (Å, degrees): 4.782 4.782 4.782 144.76 130.68 62.06
Sites, in units of the cell vectors:
Be: 0.000 0.000 0.000
Cu: 0.224 0.724 0.500
Cu: 0.776 0.276 0.500
Au: 0.500 0.500 0.000

---

Number 1: theoretical density 13281 kg/m3. Number 2: theoretical density 7507 kg/m3. Number 3: theoretical density 7118 kg/m3. Number 4: theoretical density 3699 kg/m3. Number 5: theoretical density 11927 kg/m3. Number 6: theoretical density 11683 kg/m3.